(1)
VASP calculation (PBE) on a relaxed structure of BaCe2Tc.

## Properties
Its volume is 125 Å³ per cell. Its energy above the lowest structure with this stoichiometry is 0.000 eV per atom. The calculation puts the density of states at the Fermi level at 9.5 states/eV/cell.

Cell: 3.508 3.508 10.159 Å, 90.00 90.00 90.00°
Last column: magnetic moment on the atom in μB.
Fractional positions:
Ba1 0.500 0.500 0.500  0.01
Ce1 0.000 0.000 0.839  0.41
Ce2 0.000 0.000 0.161  0.41
Tc1 0.500 0.500 0.000  -0.10

=====

(2)
VASP calculation (PBE) on a relaxed structure of BaCeTe2.

## Properties
Its volume is 133 Å³ per cell. Its energy above the lowest structure with this stoichiometry is 0.155 eV per atom. For the formation energy from raw total energies, the calculation gives -1.382 eV per atom. The calculation puts the density of states at the Fermi level at 5.8 states/eV/cell.

Cell: 4.021 4.021 8.226 Å, 90.00 90.00 90.00°
Last column: magnetic moment on the atom in μB.
Fractional positions:
Te1 0.000 0.000 0.773  -0.03
Te2 0.000 0.000 0.227  -0.03
Ba1 0.500 0.500 0.500  0.03
Ce1 0.500 0.500 0.000  1.25

=====

(3)
VASP calculation (PBE) on a relaxed structure of Ba2CeTe3.

## Properties
Its volume is 478 Å³ per cell. Its energy above the lowest structure with this stoichiometry is 0.000 eV per atom. For the formation energy from raw total energies, the calculation gives -1.591 eV per atom. The calculation puts the density of states at the Fermi level at 19.9 states/eV/cell.

Cell: 8.331 8.331 8.432 Å, 99.49 99.49 120.02°
Last column: magnetic moment on the atom in μB.
Fractional positions:
Ba1 0.833 0.167 0.500  0.01
Ba2 0.333 0.667 0.000  0.01
Ba3 0.172 0.828 0.500  0.01
Ba4 0.495 0.505 0.500  0.01
Ce1 0.001 0.999 0.000  1.13
Ce2 0.666 0.334 0.000  1.13
Te1 0.606 0.939 0.771  -0.01
Te2 0.061 0.394 0.229  -0.01
Te3 0.906 0.588 0.767  -0.01
Te4 0.255 0.240 0.767  -0.01
Te5 0.412 0.094 0.233  -0.01
Te6 0.760 0.745 0.233  -0.01

=====

(4)
VASP calculation (PBE) on a relaxed structure of BaCeTe2.

## Properties
Its volume is 151 Å³ per cell. Its energy above the lowest structure with this stoichiometry is 0.012 eV per atom. For the formation energy from raw total energies, the calculation gives -1.525 eV per atom. The calculation puts the density of states at the Fermi level at 8.5 states/eV/cell.

Cell: 4.681 4.681 8.384 Å, 73.79 73.79 60.00°
Last column: magnetic moment on the atom in μB.
Fractional positions:
Te1 0.258 0.258 0.225  -0.02
Te2 0.742 0.742 0.775  -0.02
Ba1 0.500 0.500 0.500  0.01
Ce1 0.000 0.000 0.000  1.12

=====

volume of number 3 (Ba2CeTe3)?
478 Å³ per cell

=====

volume of number 2 (BaCeTe2)?
133 Å³ per cell

=====

Which formula does entry 3 have?
Ba2CeTe3

=====

What did the first record say?
VASP calculation (PBE) on a relaxed structure of BaCe2Tc.

## Properties
Its volume is 125 Å³ per cell. Its energy above the lowest structure with this stoichiometry is 0.000 eV per atom. The calculation puts the density of states at the Fermi level at 9.5 states/eV/cell.

Cell: 3.508 3.508 10.159 Å, 90.00 90.00 90.00°
Last column: magnetic moment on the atom in μB.
Fractional positions:
Ba1 0.500 0.500 0.500  0.01
Ce1 0.000 0.000 0.839  0.41
Ce2 0.000 0.000 0.161  0.41
Tc1 0.500 0.500 0.000  -0.10